No. 1
# VTc2Ag | the Alexandria database | GGA-PBE | relaxed
data_VTc2Ag
_cell_length_a 3.817
_cell_length_b 3.817
_cell_length_c 18.505
_cell_angle_alpha 90.00
_cell_angle_beta 90.00
_cell_angle_gamma 90.00
_space_group_name_H-M_alt 'I -4 2 d'
_space_group_IT_number 122
_space_group_name_Hall 'I -4 2bw'
loop_
_atom_site_label
_atom_site_fract_x
_atom_site_fract_y
_atom_site_fract_z
V1 0.000 0.000 0.000
Tc1 0.193 0.250 0.125
Ag1 0.000 0.000 0.500
# calculated formation energy: 0.797 eV/atom



No. 2
# Pm2TlPd2 | the Alexandria database | GGA-PBE | relaxed
data_Pm2TlPd2
_cell_length_a 7.939
_cell_length_b 7.939
_cell_length_c 3.798
_cell_angle_alpha 90.00
_cell_angle_beta 90.00
_cell_angle_gamma 90.00
_space_group_name_H-M_alt 'P 4/m b m'
_space_group_IT_number 127
_space_group_name_Hall '-P 4 2ab'
loop_
_atom_site_label
_atom_site_fract_x
_atom_site_fract_y
_atom_site_fract_z
Pm1 0.175 0.325 0.000
Tl1 0.000 0.000 0.500
Pd1 0.125 0.625 0.500
# calculated formation energy: -0.756 eV/atom



No. 3
DFT (GGA-PBE) results for a geometry-optimized PrHS structure.

Structure (CIF):
```
data_PrHS
_cell_length_a 6.402
_cell_length_b 6.402
_cell_length_c 6.402
_cell_angle_alpha 90.00
_cell_angle_beta 90.00
_cell_angle_gamma 90.00
_space_group_name_H-M_alt 'F -4 3 m'
_space_group_IT_number 216
_space_group_name_Hall 'F -4 2 3'
loop_
_atom_site_label
_atom_site_fract_x
_atom_site_fract_y
_atom_site_fract_z
Pr1 0.000 0.000 0.000
H1 0.250 0.250 0.750
S1 0.250 0.250 0.250
```



No. 4
# CaY | the Alexandria database | GGA-PBE | relaxed
data_CaY
_cell_length_a 5.9745
_cell_length_b 5.9745
_cell_length_c 6.5734
_cell_angle_alpha 90.00
_cell_angle_beta 90.00
_cell_angle_gamma 120.00
_space_group_name_H-M_alt 'P 63/m m c'
_space_group_IT_number 194
_space_group_name_Hall '-P 6c 2c'
loop_
_atom_site_label
_atom_site_fract_x
_atom_site_fract_y
_atom_site_fract_z
Ca1 0.3333 0.6667 0.2500
Y1 0.3333 0.6667 0.7500
# calculated formation energy: 1.222 eV/atom



no.,total magnetization (μB per atom),total DFT energy (no corrections) (eV per atom)
1,0.353,-7.38
2,0.000,-5.21
3,0.000,-5.34
4,0.000,-3.01